No. 1
Density functional theory data (GGA-PBE) for an optimized crystal structure of As2PPt.

The value obtained for the mass density is 9.3 g/cm³. For the formation energy, the calculation gives 0.3082 eV per atom. For the size of the total moment, the calculation gives 0.00 Bohr magnetons per cell. The energy is -4.88 eV/atom. The density of states at the Fermi level comes out at 1.65 states/eV/cell.

The space group is P4/mmm (No. 123) and the conventional cell measures 4.808, 4.808 and 2.896 Å, with angles of 90.00, 90.00 and 90.00 degrees. The distinct sites, in fractional coordinates, are As at (0.000, 0.500, 0.000), P at (0.000, 0.000, 0.500) and Pt at (0.500, 0.500, 0.500).

---

No. 2
Density functional theory data (GGA-PBE) for an optimized crystal structure of Nd6PaO12.

The value obtained for the mass density is 7.0 g/cm³. As for the raw formation energy: -3362 meV per atom. For the size of the total moment, the calculation gives 3.43 Bohr magnetons per cell. The energy is -8.50 eV/atom. The density of states at the Fermi level comes out at 33.03 states/eV/cell.

The space group is R-3 (No. 148, hexagonal axes) and the conventional cell measures 10.4202, 10.4202 and 9.7878 Å, with angles of 90.00, 90.00 and 120.00 degrees. The distinct sites, in fractional coordinates, are Nd at (0.0471, 0.7894, 0.1486), Pa at (0.0000, 0.0000, 0.5000), O at (0.0370, 0.8147, 0.8998) and O at (0.0389, 0.8380, 0.3922).

---

No. 3
Density functional theory data (GGA-PBE) for an optimized crystal structure of ZnIrSeN2.

The value obtained for the mass density is 7.6 g/cm³. As for the raw formation energy: 663 meV per atom. For the size of the total moment, the calculation gives 0.00 Bohr magnetons per cell. The energy is -5.39 eV/atom. The density of states at the Fermi level comes out at 3.17 states/eV/cell. The calculation puts the relative energy among the computed polymorphs at 0.000 eV/atom.

The space group is P4/mmm (No. 123) and the conventional cell measures 3.773, 3.773 and 5.620 Å, with angles of 90.00, 90.00 and 90.00 degrees. The distinct sites, in fractional coordinates, are Zn at (0.000, 0.000, 0.000), Ir at (0.500, 0.500, 0.500), Se at (0.500, 0.500, 0.000) and N at (0.000, 0.500, 0.500).

---

No. 4
Density functional theory data (GGA-PBE) for an optimized crystal structure of Ce2YRu.

The value obtained for the mass density is 6.9 g/cm³. For the formation energy, the calculation gives -0.0636 eV per atom. For the size of the total moment, the calculation gives 0.00 Bohr magnetons per cell. The energy is -6.97 eV/atom. The density of states at the Fermi level comes out at 27.57 states/eV/cell. The calculation puts the relative energy among the computed polymorphs at 0.166 eV/atom.

The space group is R-3m (No. 166, hexagonal axes) and the conventional cell measures 3.8074, 3.8074 and 26.8911 Å, with angles of 90.00, 90.00 and 120.00 degrees. The distinct sites, in fractional coordinates, are Ce at (0.0000, 0.0000, 0.2277), Y at (0.0000, 0.0000, 0.0000) and Ru at (0.0000, 0.0000, 0.5000).

---

No. 5
Density functional theory data (GGA-PBE) for an optimized crystal structure of KTbI2.

The value obtained for the mass density is 4.4 g/cm³. As for the raw formation energy: -887 meV per atom. For the size of the total moment, the calculation gives 0.00 Bohr magnetons per cell. The energy is -3.09 eV/atom. The density of states at the Fermi level comes out at 8.74 states/eV/cell.

The space group is R-3m (No. 166, hexagonal axes) and the conventional cell measures 4.1391, 4.1391 and 34.7896 Å, with angles of 90.00, 90.00 and 120.00 degrees. The distinct sites, in fractional coordinates, are K at (0.0000, 0.0000, 0.0000), Tb at (0.0000, 0.0000, 0.5000) and I at (0.0000, 0.0000, 0.1087).

---

No. 6
Density functional theory data (GGA-PBE) for an optimized crystal structure of Sr2Ti2Be.

The value obtained for the mass density is 3.4 g/cm³. For the formation energy, the calculation gives 0.6400 eV per atom. For the size of the total moment, the calculation gives 0.00 Bohr magnetons per cell. The energy is -3.94 eV/atom. The density of states at the Fermi level comes out at 8.93 states/eV/cell. The calculation puts the relative energy among the computed polymorphs at 0.000 eV/atom.

The space group is I4/mmm (No. 139) and the conventional cell measures 3.673, 3.673 and 20.323 Å, with angles of 90.00, 90.00 and 90.00 degrees. The distinct sites, in fractional coordinates, are Sr at (0.000, 0.000, 0.094), Ti at (0.000, 0.500, 0.250) and Be at (0.000, 0.000, 0.500).